Density functional theory data (PBE) for a relaxed structure of LaHoTc.

Output
For the formation energy from the elements, the calculation gives -0.01 eV per atom. As for the energy above the most stable polymorph in this dataset: 0 meV/atom. The total energy comes out at -6.6361 eV/atom. The calculation puts the total magnetic moment at 0.0 μB per cell.

```
LaHoTc
1.0
6.8926 0.0000 0.0000
-3.4463 6.4419 0.0000
0.0000 0.0000 7.3219
La Tc Ho
4 4 4
Direct
0.2095 0.4190 0.6055 La
0.2905 0.5810 0.1055 La
0.7905 0.5810 0.3945 La
0.7095 0.4190 0.8945 La
0.3859 0.7718 0.4726 Tc
0.8859 0.7718 0.0274 Tc
0.1141 0.2282 0.9726 Tc
0.6141 0.2282 0.5274 Tc
0.7775 0.0551 0.2500 Ho
0.7225 0.9449 0.7500 Ho
0.2225 0.9449 0.7500 Ho
0.2775 0.0551 0.2500 Ho
```